[1]
Material: ZrBe2Pt2
Method: DFT, PBE-GGA
State: relaxed

```
ZrBe2Pt2
1.0
-3.712 1.319 -0.124
-1.031 -3.106 -2.196
0.426 -3.861 8.799
Zr Be Pt
2 4 4
Cartesian
-2.866 -2.103 0.783
-1.451 -3.545 5.696
-2.829 -1.718 3.758
-4.056 -5.012 5.457
-0.260 -0.636 1.023
-1.488 -3.930 2.722
-0.515 -1.553 -1.098
-0.727 -1.777 2.855
-1.856 0.660 -0.062
-3.590 -3.871 3.625
```

Properties
formation energy	-772	meV/atom
total magnetization	0.00	μB per formula unit
ΔE to the lowest computed polymorph	0.000	eV/atom
space group	I4/mmm (139)
DOS(E_F)	6.9	states/eV/cell
theoretical density	11.600	Mg/m³

=====

[2]
Material: BeSi2
Method: DFT, PBE-GGA
State: relaxed

```
BeSi2
1.0
3.971 -0.009 -0.002
-1.300 4.904 0.008
-1.291 -2.318 4.637
Be Si
2 4
Cartesian
0.049 2.799 0.039
1.764 -1.185 3.560
3.076 1.042 1.185
1.184 2.259 1.996
-0.188 -0.463 2.832
0.752 1.482 4.373
```

Properties
ΔE_f (raw)	0.8	eV/f.u.
total magnetization	0.00	μB per formula unit
ΔE to the lowest computed polymorph	0.006	eV/atom
space group	P1 (1)
DOS(E_F)	0.5	states/eV/cell
theoretical density	2.397	Mg/m³

=====

[3]
Material: BC3
Method: DFT, PBE-GGA
State: relaxed

```
BC3
1.0
5.880 0.083 -1.278
5.298 2.552 -1.278
-0.004 -0.001 5.092
B C
3 9
Cartesian
0.042 0.010 -0.009
2.822 0.665 1.268
11.163 2.631 0.005
10.137 2.389 -1.308
3.736 0.880 -0.057
10.119 2.385 1.288
7.373 1.738 -0.001
6.615 1.559 1.270
3.728 0.879 2.601
2.785 0.656 3.816
7.493 1.766 2.537
6.628 1.562 -1.282
```

Properties
formation energy	249	meV/atom
total magnetization	0.00	μB per formula unit
ΔE to the lowest computed polymorph	0.008	eV/atom
space group	Cm (8)
DOS(E_F)	1.5	states/eV/cell
theoretical density	3.146	Mg/m³

=====

[4]
Material: Bi2CBr
Method: DFT, PBE-GGA
State: relaxed

```
Bi2CBr
1.0
-6.103 0.180 -3.036
-2.326 -4.659 4.401
-5.697 1.526 3.885
C Bi Br
2 4 2
Cartesian
-4.214 -2.240 0.683
-6.119 -2.687 4.484
-4.945 -0.106 -0.085
-4.225 -2.491 3.052
-7.656 -0.982 3.847
-11.425 -2.329 3.687
0.000 0.000 0.000
-8.007 -0.267 0.766
```

Properties
ΔE_f (raw)	3.1	eV/f.u.
total magnetization	0.00	μB per formula unit
ΔE to the lowest computed polymorph	0.000	eV/atom
space group	I-42d (122)
DOS(E_F)	3.1	states/eV/cell
theoretical density	7.058	Mg/m³

=====

[5]
Material: HgRuSe2
Method: DFT, PBE-GGA
State: relaxed

```
HgRuSe2
1.0
-3.755 -5.188 -5.122
-0.279 -5.430 -6.139
-1.480 -7.357 -3.308
Hg Ru Se
1 1 2
Cartesian
-4.136 -13.482 -10.927
-1.379 -4.494 -3.642
-5.374 -17.520 -14.200
-2.897 -9.443 -7.654
```

Properties
ΔE_f (raw)	-0.4	eV/f.u.
total magnetization	0.13	μB per formula unit
space group	R-3m (166)
DOS(E_F)	4.9	states/eV/cell
theoretical density	8.436	Mg/m³

=====

[6]
Material: ScAg2
Method: DFT, PBE-GGA
State: relaxed

```
ScAg2
1.0
-2.803 2.803 4.069
2.803 -2.803 4.069
2.803 2.803 -4.069
Sc Ag
2 4
Cartesian
0.000 0.000 6.103
0.000 0.000 2.034
3.747 0.944 0.000
0.944 1.859 0.000
1.859 0.944 4.069
-0.944 1.859 4.069
```

Properties
formation energy	36	meV/atom
total magnetization	0.00	μB per formula unit
ΔE to the lowest computed polymorph	0.329	eV/atom
space group	I4/mcm (140)
DOS(E_F)	3.4	states/eV/cell
theoretical density	6.771	Mg/m³